# Tb4Pm3Th2

A geometry-optimized Tb4Pm3Th2 structure (PBE-GGA, the Alexandria database).

The structure in extended XYZ format:
```
18
Lattice="7.0879 0.0000 0.0000 -1.7824 8.3198 0.0000 -1.7202 -1.9744 10.0461" Properties=species:S:1:pos:R:3 pbc="T T T"
Tb -0.8551 0.5068 4.4635
Tb -0.8625 3.0674 6.6489
Tb 0.9158 -0.1051 7.6477
Tb 2.6247 1.1076 1.0748
Tb 0.9606 5.2378 8.9713
Tb 2.6695 6.4505 2.3984
Tb 4.4478 3.2780 3.3972
Tb 4.4404 5.8386 5.5826
Pm -0.8841 6.4475 2.3308
Pm 0.8440 4.1063 0.0329
Pm 0.8933 5.8308 5.5403
Pm 2.6920 0.5146 4.5058
Pm 2.7413 2.2391 10.0132
Pm 4.4695 -0.1020 7.7153
Th -2.6314 5.2484 8.9247
Th 0.9048 3.2601 3.4127
Th 2.6806 3.0854 6.6334
Th 6.2168 1.0970 1.1214
```

Computed properties:
total magnetic moment: 0.0 Bohr magnetons per cell
DFT total energy: -94.3 eV for the cell shown
formation energy from the elements: 0.05 eV per atom

---

# Tb3Pm6Th

A geometry-optimized Tb3Pm6Th structure (PBE-GGA, the Alexandria database).

The structure in extended XYZ format:
```
20
Lattice="13.2795 0.0000 0.0000 0.0000 3.5586 0.0000 -2.6610 0.0000 14.2906" Properties=species:S:1:pos:R:3 pbc="T T T"
Tb 0.7078 0.8897 1.4373
Tb 3.6598 2.6690 7.1209
Tb 3.2030 0.8897 12.9143
Tb 7.4155 2.6690 1.3763
Tb 6.9587 0.8897 7.1696
Tb 9.9108 2.6690 12.8532
Pm 0.3281 0.8897 6.9262
Pm 0.0637 2.6690 13.1452
Pm 2.1622 2.6690 4.1087
Pm 1.7289 2.6690 10.0267
Pm 4.2596 0.8897 1.7076
Pm 5.8082 2.6690 4.4267
Pm 4.8103 0.8897 9.8639
Pm 6.3589 2.6690 12.5830
Pm 8.8896 0.8897 4.2639
Pm 8.4563 0.8897 10.1818
Pm 10.5548 0.8897 1.1454
Pm 10.2904 2.6690 7.3643
Th -1.4348 0.8897 10.3229
Th 12.0534 2.6690 3.9677
```

Computed properties:
total magnetic moment: 0.0 Bohr magnetons per cell
DFT total energy: -98.0 eV for the cell shown
formation energy from the elements: 0.08 eV per atom

---

# Tb2Pm2Th

A geometry-optimized Tb2Pm2Th structure (PBE-GGA, the Alexandria database).

The structure in extended XYZ format:
```
15
Lattice="3.6075 0.0000 0.0000 -1.8038 3.1242 0.0000 0.0000 0.0000 43.8313" Properties=species:S:1:pos:R:3 pbc="T T T"
Tb 0.0000 0.0000 4.4848
Tb 0.0000 0.0000 39.3464
Tb 0.0000 2.0828 24.7360
Tb 0.0000 2.0828 33.7057
Tb 1.8038 1.0414 10.1256
Tb 1.8038 1.0414 19.0953
Pm 0.0000 0.0000 13.1343
Pm 0.0000 0.0000 30.6970
Pm 0.0000 2.0828 16.0866
Pm 0.0000 2.0828 42.3551
Pm 1.8038 1.0414 1.4761
Pm 1.8038 1.0414 27.7447
Th 0.0000 0.0000 21.9156
Th 0.0000 2.0828 7.3052
Th 1.8038 1.0414 36.5260
```

Computed properties:
total magnetic moment: 0.0 Bohr magnetons per cell
DFT total energy: -78.3 eV for the cell shown
formation energy from the elements: 0.01 eV per atom

---

# TbPm5Th2

A geometry-optimized TbPm5Th2 structure (PBE-GGA, the Alexandria database).

The structure in extended XYZ format:
```
16
Lattice="13.8610 0.0000 0.0000 0.0000 11.3773 0.0000 -0.9068 0.0000 3.4364" Properties=species:S:1:pos:R:3 pbc="T T T"
Tb 0.0000 0.0000 0.0000
Tb 6.9305 5.6887 0.0000
Pm 0.0000 5.6887 0.0000
Pm 1.2317 2.9850 2.1700
Pm 1.2317 8.3924 2.1700
Pm 4.7920 2.7037 1.2665
Pm 4.7920 8.6736 1.2665
Pm 6.9305 0.0000 0.0000
Pm 8.1622 2.7037 2.1700
Pm 8.1622 8.6736 2.1700
Pm 11.7226 2.9850 1.2665
Pm 11.7226 8.3924 1.2665
Th 2.6817 0.0000 2.5473
Th 3.3420 5.6887 0.8892
Th 9.6122 5.6887 2.5473
Th 10.2725 0.0000 0.8892
```

Computed properties:
total magnetic moment: 0.0 Bohr magnetons per cell
DFT total energy: -84.8 eV for the cell shown
formation energy from the elements: 0.10 eV per atom

---

> Which value of formation energy from the elements does entry 3 give?

0.01 eV per atom

---

> What is the formation energy from the elements in the fourth record?

0.10 eV per atom